No. 1
SrGa4Au3 | SCAN | PBEsol geometry Values from VASP.

V: 162 Å³/cell

Geometry as Quantum ESPRESSO input:
```
&SYSTEM
  ibrav = 0, nat = 8, ntyp = 3
/
ATOMIC_SPECIES
Sr 87.62 Sr.upf
Ga 69.72 Ga.upf
Au 196.97 Au.upf
ATOMIC_POSITIONS angstrom
Sr 0.0000 0.0000 0.0000
Ga 0.0000 2.1570 2.8465
Ga 0.0000 2.1570 5.8465
Ga 2.1570 0.0000 2.8465
Ga 2.1570 0.0000 5.8465
Au 0.0000 0.0000 4.3465
Au 2.1570 2.1570 1.3686
Au 2.1570 2.1570 7.3244
CELL_PARAMETERS angstrom
4.3140 0.0000 0.0000
0.0000 4.3140 0.0000
0.0000 0.0000 8.6930
```

***

No. 2
Sr2GaAu2 | SCAN | PBEsol geometry Values from VASP.

V: 140 Å³/cell

Geometry as Quantum ESPRESSO input:
```
&SYSTEM
  ibrav = 0, nat = 5, ntyp = 3
/
ATOMIC_SPECIES
Sr 87.62 Sr.upf
Ga 69.72 Ga.upf
Au 196.97 Au.upf
ATOMIC_POSITIONS angstrom
Sr 3.0254 0.0000 1.9114
Sr 0.0000 3.0254 1.9114
Ga 0.0000 0.0000 0.0000
Au 0.0000 0.0000 2.5144
Au 0.0000 0.0000 5.1311
CELL_PARAMETERS angstrom
-3.0254 3.0254 3.8228
3.0254 -3.0254 3.8228
3.0254 3.0254 -3.8228
```

***

No. 3
Sr2YGaAu | SCAN | PBEsol geometry Values from VASP.

V: 201 Å³/cell

Geometry as Quantum ESPRESSO input:
```
&SYSTEM
  ibrav = 0, nat = 5, ntyp = 4
/
ATOMIC_SPECIES
Sr 87.62 Sr.upf
Y 88.91 Y.upf
Ga 69.72 Ga.upf
Au 196.97 Au.upf
ATOMIC_POSITIONS angstrom
Sr 0.0000 3.1451 0.0000
Sr 3.1451 0.0000 0.0000
Y 0.0000 0.0000 0.0000
Ga 3.1451 3.1451 2.5382
Au 0.0000 0.0000 2.5382
CELL_PARAMETERS angstrom
6.2901 0.0000 0.0000
0.0000 6.2901 0.0000
0.0000 0.0000 5.0763
```

***

| no. | energy of formation (eV per atom) |
| --- | --- |
| 1 | -0.60 |
| 2 | -0.66 |
| 3 | 0.56 |